## HoLuIn (PBE-GGA)

Data for a geometry-optimized HoLuIn structure.

a b c (Å): 7.2218 7.2218 7.2218
angles (deg): 152.04 152.04 39.95
Positions (direct):
Ho 0.0000 0.0000 0.0000
Lu 0.3158 0.3158 0.0000
In 0.6600 0.6600 0.0000

Properties
Total magnetic moment (μB per formula unit): 0.0
Offset from the most stable computed form (meV per atom): 0
Energy of formation from the pure elements (kJ/mol of atoms): -30
DOS(E_F) (states/eV per cell): 3.26
VASP energy (eV per cell): -12.76